# 1
The following is a PBE calculation of a geometry-optimized Ca2CdAuN structure, from Alexandria via LeMat-Bulk.

The formation energy from raw total energies comes out at -0.518 eV/atom. The calculation puts the total energy at -0.281 Ry per atom.

It has space group P4/mmm (No. 123), with a = 4.834 Å, b = 4.834 Å, c = 4.528 Å, α = 90.00°, β = 90.00° and γ = 90.00°. The distinct sites, in fractional coordinates, are Ca at (0.000, 0.500, 0.000), Cd at (0.000, 0.000, 0.500), Au at (0.500, 0.500, 0.500) and N at (0.000, 0.000, 0.000).

---

# 2
The following is a PBE calculation of a geometry-optimized PmErBiSb structure, from Alexandria via LeMat-Bulk.

The formation energy from raw total energies comes out at -0.990 eV/atom. The calculation puts the total energy at -0.391 Ry per atom.

It has space group P4/mmm (No. 123), with a = 4.472 Å, b = 4.472 Å, c = 6.315 Å, α = 90.00°, β = 90.00° and γ = 90.00°. The distinct sites, in fractional coordinates, are Pm at (0.000, 0.000, 0.000), Er at (0.500, 0.500, 0.500), Bi at (0.500, 0.500, 0.000) and Sb at (0.000, 0.000, 0.500).

---

# 3
The following is a PBE calculation of a geometry-optimized Pu2Se2I structure, from Alexandria via LeMat-Bulk.

The formation energy from raw total energies comes out at -1.338 eV/atom. The calculation puts the distance to the lowest polymorph of the same formula at 0.043 eV per atom. The calculation puts the total energy at -0.645 Ry per atom.

It has space group Immm (No. 71), with a = 4.357 Å, b = 5.732 Å, c = 13.865 Å, α = 90.00°, β = 90.00° and γ = 90.00°. The distinct sites, in fractional coordinates, are Pu at (0.000, 0.000, 0.173), Se at (0.000, 0.500, 0.192) and I at (0.000, 0.500, 0.500).

---

# 4
The following is a PBE calculation of a geometry-optimized CsOsSe3 structure, from Alexandria via LeMat-Bulk.

The formation energy from raw total energies comes out at 2.303 eV/atom. The calculation puts the distance to the lowest polymorph of the same formula at 2.250 eV per atom. The calculation puts the total energy at -0.162 Ry per atom.

It has space group Pm-3m (No. 221), with a = 5.899 Å, b = 5.899 Å, c = 5.899 Å, α = 90.00°, β = 90.00° and γ = 90.00°. The distinct sites, in fractional coordinates, are Cs at (0.000, 0.000, 0.000), Os at (0.500, 0.500, 0.500) and Se at (0.000, 0.000, 0.500).

---

# 5
The following is a PBE calculation of a geometry-optimized Hg4Te2H3 structure, from Alexandria via LeMat-Bulk.

The calculation puts the total energy at -0.132 Ry per atom.

It has space group P-1 (No. 2), with a = 6.307 Å, b = 7.318 Å, c = 10.122 Å, α = 107.08°, β = 101.47° and γ = 95.79°. The distinct sites, in fractional coordinates, are Hg at (0.015, 0.162, 0.427), Hg at (0.200, 0.275, 0.155), Hg at (0.272, 0.991, 0.895), Hg at (0.298, 0.588, 0.445), Te at (0.274, 0.504, 0.849), Te at (0.391, 0.943, 0.304), H at (0.187, 0.805, 0.164), H at (0.233, 0.532, 0.686) and H at (0.411, 0.312, 0.784).

---

# 6
The following is a PBE calculation of a geometry-optimized TbErPb2 structure, from Alexandria via LeMat-Bulk.

The calculation puts the total energy at -0.336 Ry per atom. As for the energy of formation: -0.415 eV/atom.

It has space group P4/mmm (No. 123), with a = 5.050 Å, b = 5.050 Å, c = 4.414 Å, α = 90.00°, β = 90.00° and γ = 90.00°. The distinct sites, in fractional coordinates, are Tb at (0.000, 0.000, 0.000), Er at (0.500, 0.500, 0.000) and Pb at (0.000, 0.500, 0.500).